(1)
First-principles (PBEsol) data for a relaxed structure of Mg3MoPt, as listed in Alexandria via LeMat-Bulk.

Summary:
Space group   No. 221
ΔE_f   1.542 eV per atom
Polymorph energy (0 for the lowest one)   896 meV per atom

abc: 4.940 4.940 4.940
angles: 90.00 90.00 90.00
Last column: magnetic moment on the atom in μB.
Fractional coordinates of all 5 atoms:
Mo (0.000, 0.000, 0.000)  2.01
Mg (0.000, 0.500, 0.000)  0.02
Mg (0.000, 0.000, 0.500)  0.02
Mg (0.500, 0.000, 0.000)  0.02
Pt (0.500, 0.500, 0.500)  0.16

***

(2)
First-principles (PBEsol) data for a relaxed structure of Y2SbW, as listed in Alexandria via LeMat-Bulk.

Summary:
Space group   No. 123
Uncorrected formation energy   -0.14 eV/f.u.

abc: 3.929 4.780 4.780
angles: 90.00 90.00 90.00
Fractional coordinates of all 4 atoms:
Sb (0.500, 0.000, 0.000)
W (0.500, 0.500, 0.500)
Y (0.000, 0.000, 0.500)
Y (0.000, 0.500, 0.000)

***

(3)
First-principles (PBEsol) data for a relaxed structure of MnAgBi2, as listed in Alexandria via LeMat-Bulk.

Summary:
Space group   No. 122
ΔE_f   0.467 eV per atom

abc: 4.743 4.743 9.750
angles: 104.08 104.08 90.00
Last column: magnetic moment on the atom in μB.
Fractional coordinates of all 8 atoms:
Mn (0.750, 0.250, 0.500)  3.95
Mn (0.500, 0.500, 0.000)  3.95
Bi (0.384, 0.875, 0.250)  -0.03
Bi (0.866, 0.375, 0.250)  -0.03
Bi (0.125, 0.134, 0.750)  -0.03
Bi (0.625, 0.616, 0.750)  -0.03
Ag (0.250, 0.750, 0.500)  0.03
Ag (0.000, 0.000, 0.000)  0.03

***

(4)
First-principles (PBEsol) data for a relaxed structure of PbBr2, as listed in Alexandria via LeMat-Bulk.

Summary:
Space group   No. 58
Uncorrected formation energy   -2.54 eV/f.u.

abc: 4.456 6.810 7.075
angles: 90.00 90.00 90.00
Fractional coordinates of all 6 atoms:
Pb (0.000, 0.000, 0.000)
Pb (0.500, 0.500, 0.500)
Br (0.000, 0.248, 0.649)
Br (0.000, 0.752, 0.351)
Br (0.500, 0.748, 0.851)
Br (0.500, 0.252, 0.149)

***

(5)
First-principles (PBEsol) data for a relaxed structure of AsSCl2O, as listed in Alexandria via LeMat-Bulk.

Summary:
Space group   No. 123
Uncorrected formation energy   3.08 eV/f.u.

abc: 4.896 4.808 4.808
angles: 90.00 90.00 90.00
Last column: magnetic moment on the atom in μB.
Fractional coordinates of all 5 atoms:
As (0.000, 0.000, 0.000)  0.01
S (0.500, 0.000, 0.000)  0.54
O (0.500, 0.500, 0.500)  1.50
Cl (0.000, 0.000, 0.500)  0.06
Cl (0.000, 0.500, 0.000)  0.06

***

(6)
First-principles (PBEsol) data for a relaxed structure of MoPbAu3, as listed in Alexandria via LeMat-Bulk.

Summary:
Space group   No. 221
ΔE_f   0.965 eV per atom

abc: 4.977 4.977 4.977
angles: 90.00 90.00 90.00
Fractional coordinates of all 5 atoms:
Pb (0.500, 0.500, 0.500)
Mo (0.000, 0.000, 0.000)
Au (0.000, 0.500, 0.000)
Au (0.000, 0.000, 0.500)
Au (0.500, 0.000, 0.000)

***

(7)
First-principles (PBEsol) data for a relaxed structure of LiCu2Pt, as listed in Alexandria via LeMat-Bulk.

Summary:
Space group   No. 65
ΔE_f   -0.244 eV per atom
Polymorph energy (0 for the lowest one)   0 meV per atom

abc: 2.762 4.342 4.342
angles: 105.65 90.00 90.00
Fractional coordinates of all 4 atoms:
Pt (0.500, 0.500, 0.500)
Cu (0.000, 0.500, 0.000)
Cu (0.000, 0.000, 0.500)
Li (0.500, 0.000, 0.000)

***

(8)
First-principles (PBEsol) data for a relaxed structure of TiAg2HgH, as listed in Alexandria via LeMat-Bulk.

Summary:
Space group   No. 123

abc: 3.359 5.207 5.207
angles: 90.00 90.00 90.00
Last column: magnetic moment on the atom in μB.
Fractional coordinates of all 5 atoms:
H (0.500, 0.000, 0.000)  0.00
Hg (0.000, 0.000, 0.000)  -0.01
Ag (0.000, 0.000, 0.500)  0.03
Ag (0.000, 0.500, 0.000)  0.03
Ti (0.500, 0.500, 0.500)  1.44

***

Quick rundown of total energy, same order as above: -3.234, -8.036, -4.944, -3.426, -3.135, -4.543, -4.643, -3.058 eV/atom